[1]
This record from Alexandria via LeMat-Bulk describes a relaxed structure of Ag2ICl4. The functional is PBE-GGA.

```
Ag2ICl4
1.0
6.953 0.000 0.000
0.000 6.953 0.000
-3.477 -3.477 3.764
Cl Ag I
4 2 1
Direct
0.331 0.876 0.207
0.124 0.124 0.793
0.669 0.669 0.793
0.876 0.331 0.207
0.750 0.250 0.500
0.250 0.750 0.500
0.500 0.500 0.000
```

## Properties
* energy: -15.19 eV for the cell shown
* formation energy without anion corrections: -0.08 eV/atom
* Fermi-level density of states: 4.412 states/eV per cell
* distance to the lowest polymorph of the same formula: 228 meV per atom
* spin magnetization: 0.92 μB per formula unit
* mass density: 4.42 g/cm3


[2]
This record from Alexandria via LeMat-Bulk describes a relaxed structure of Ag2I2Cl. The functional is PBE-GGA.

```
Ag2I2Cl
1.0
8.461 0.000 0.000
0.000 8.461 0.000
0.000 0.000 3.893
Ag I Cl
4 4 2
Direct
0.370 0.130 0.500
0.130 0.630 0.500
0.630 0.870 0.500
0.870 0.370 0.500
0.835 0.665 0.000
0.665 0.165 0.000
0.335 0.835 0.000
0.165 0.335 0.000
0.000 0.000 0.000
0.500 0.500 0.000
```

## Properties
* energy: -20.41 eV for the cell shown
* formation energy without anion corrections: 0.09 eV/atom
* Fermi-level density of states: 7.185 states/eV per cell
* distance to the lowest polymorph of the same formula: 323 meV per atom
* spin magnetization: 0.00 μB per formula unit
* mass density: 6.02 g/cm3


[3]
This record from Alexandria via LeMat-Bulk describes a relaxed structure of Ag2I2Cl. The functional is PBE-GGA.

```
Ag2I2Cl
1.0
-1.826 7.515 -2.439
-7.740 -2.203 -0.995
-0.791 1.050 3.826
Cl I Ag
2 4 4
Direct
0.500 0.500 0.000
0.000 0.000 0.000
0.343 0.157 0.500
0.657 0.843 0.500
0.157 0.657 0.500
0.843 0.343 0.500
0.851 0.649 0.000
0.351 0.851 0.000
0.649 0.149 0.000
0.149 0.351 0.000
```

## Properties
* energy: -21.02 eV for the cell shown
* formation energy without anion corrections: 0.03 eV/atom
* Fermi-level density of states: 26.682 states/eV per cell
* distance to the lowest polymorph of the same formula: 262 meV per atom
* spin magnetization: 0.00 μB per formula unit
* mass density: 6.30 g/cm3


[4]
This record from Alexandria via LeMat-Bulk describes a relaxed structure of Ag5ICl4. The functional is PBE-GGA.

```
Ag5ICl4
1.0
4.384 0.000 0.000
-2.192 3.797 0.000
0.000 0.000 35.207
Cl Ag I
8 10 2
Direct
0.667 0.333 0.414
0.333 0.667 0.509
0.333 0.667 0.701
0.667 0.333 0.988
0.667 0.333 0.797
0.333 0.667 0.892
0.667 0.333 0.605
0.667 0.333 0.201
0.667 0.333 0.913
0.333 0.667 0.626
0.667 0.333 0.722
0.333 0.667 0.818
0.333 0.667 0.434
0.333 0.667 0.224
0.667 0.333 0.530
0.333 0.667 0.011
0.667 0.333 0.127
0.667 0.333 0.339
0.333 0.667 0.305
0.333 0.667 0.092
```

## Properties
* energy: -54.30 eV for the cell shown
* formation energy without anion corrections: -0.40 eV/atom
* spin magnetization: 0.00 μB per formula unit
* mass density: 4.58 g/cm3


- Look up the formation energy without anion corrections of the first one.
  -0.08 eV/atom